VASP calculation (SCAN) on Ca2CuNi at its PBEsol-relaxed geometry.

a b c (Å): 4.713 4.713 4.713
angles (deg): 60.00 60.00 60.00
Sites, in units of the cell vectors:
Cu  0.500  0.500  0.500
Ca  0.750  0.750  0.750
Ca  0.000  0.000  0.000
Ni  0.250  0.250  0.250

Values from the calculation:
DFT formation energy: 283 meV/atom
space group: F-43m (216)
density of states at the Fermi level: 3.4 states/eV/f.u.